The following is a PBE calculation of a relaxed structure of K2Ho4Ag4S9, from the Open Quantum Materials Database.

Computed properties:
For the total magnetic moment, the calculation gives 0.000 μB per atom. Its space group is C2/m, No. 12. The raw total energy is -4.98 eV/atom.

```
K2Ho4Ag4S9
1.0
7.149 -2.043 0.000
7.149 2.043 0.000
-5.447 0.000 15.324
K Ho Ag S
2 4 4 9
Cartesian
-1.017 0.000 4.205
9.868 0.000 11.119
2.760 0.000 1.653
2.558 0.000 6.813
6.294 0.000 8.511
6.092 0.000 13.672
-0.506 0.000 11.119
5.946 0.000 0.766
2.905 0.000 14.559
9.358 0.000 4.205
-2.724 0.000 7.662
-2.829 0.000 14.192
0.935 0.000 9.072
3.684 0.000 4.290
0.728 0.000 13.331
8.124 0.000 1.994
5.168 0.000 11.034
7.917 0.000 6.253
11.681 0.000 1.133
```


The following is a PBE calculation of a relaxed structure of GaCuHgW, from the Open Quantum Materials Database.

Computed properties:
For the total magnetic moment, the calculation gives 0.403 μB per atom. Its space group is F-43m, No. 216. As for the energy above the most stable polymorph in this dataset: 0.0 meV per atom.

```
GaCuHgW
1.0
0.000 3.214 3.214
3.214 0.000 3.214
3.214 3.214 0.000
Ga Cu Hg W
1 1 1 1
Cartesian
0.000 0.000 0.000
1.607 1.607 1.607
3.214 3.214 3.214
4.821 4.821 4.821
```


The following is a PBE calculation of a relaxed structure of NaDyHgSe3, from the Open Quantum Materials Database.

Computed properties:
For the total magnetic moment, the calculation gives 0.000 μB per atom. Its space group is P2_1/m, No. 11. As for the energy above the most stable polymorph in this dataset: 0.0 meV per atom.

```
NaDyHgSe3
1.0
8.201 0.000 0.000
0.000 4.167 0.000
-2.624 0.000 9.722
Na Dy Hg Se
2 2 2 6
Cartesian
1.123 1.042 2.041
4.454 3.125 7.680
0.439 3.125 8.313
5.138 1.042 1.409
-0.801 1.042 5.889
6.378 3.125 3.833
-1.610 1.042 8.399
0.775 3.125 5.267
3.189 3.125 1.426
2.388 1.042 8.296
4.802 1.042 4.455
7.187 3.125 1.323
```